Version A
Nd2SmMg2 | Alexandria via LeMat-Bulk | GGA-PBE | optimized geometry; space group = P2_1/m
1.0
-0.695 -3.351 -1.780
0.235 -2.640 4.879
-13.610 3.656 2.634
Mg Nd Sm
4 4 2
direct
0.552 0.250 0.106
0.360 0.250 0.720
0.640 0.750 0.280
0.448 0.750 0.894
0.955 0.250 0.910
0.045 0.750 0.090
0.236 0.750 0.474
0.764 0.250 0.526
0.850 0.750 0.702
0.150 0.250 0.298


Version B
Nd2SmMg2 | Alexandria via LeMat-Bulk | GGA-PBE | optimized geometry; space group = Immm
1.0
5.299 0.000 0.000
2.650 5.446 -0.359
2.650 1.112 5.343
Mg Nd Sm
2 2 1
direct
0.500 0.294 0.706
0.500 0.706 0.294
0.194 0.306 0.306
0.806 0.694 0.694
0.000 0.000 0.000


The relative energies come out as version A 0.0; version B 10.8, with values in kJ/mol of atoms.


Version A
Nd3Sm3Mg | Alexandria via LeMat-Bulk | GGA-PBE | optimized geometry; space group = R-3
1.0
5.995 0.000 1.927
2.688 5.359 1.927
-1.403 -0.866 14.658
Nd Sm Mg
6 6 2
direct
0.130 0.464 0.609
0.870 0.536 0.391
0.536 0.203 0.391
0.203 0.870 0.391
0.797 0.130 0.609
0.464 0.797 0.609
0.397 0.062 0.813
0.062 0.728 0.813
0.272 0.603 0.187
0.938 0.272 0.187
0.603 0.938 0.187
0.728 0.397 0.813
0.667 0.667 0.000
0.333 0.333 0.000


Version B
Nd3Sm3Mg | Alexandria via LeMat-Bulk | GGA-PBE | optimized geometry; space group = P6_3/m
1.0
5.771 0.000 0.000
0.000 9.636 -0.011
0.000 -4.810 8.353
Sm Nd Mg
6 6 2
direct
0.750 0.897 0.521
0.750 0.624 0.103
0.250 0.103 0.479
0.250 0.522 0.624
0.250 0.376 0.897
0.750 0.478 0.376
0.750 0.186 0.942
0.750 0.058 0.244
0.250 0.814 0.058
0.750 0.756 0.813
0.250 0.244 0.187
0.250 0.942 0.756
0.250 0.667 0.333
0.750 0.333 0.667


The relative energies come out as version A 8.2; version B 0.0, with values in kJ/mol of atoms.


Version A
Nd7Sm12Mg | Alexandria via LeMat-Bulk | GGA-PBE | optimized geometry; space group = R-3
1.0
-3.311 -2.515 7.820
7.408 -4.332 2.189
3.375 7.062 4.145
Sm Nd Mg
12 7 1
direct
0.614 0.139 0.499
0.748 0.262 0.137
0.139 0.499 0.614
0.863 0.252 0.738
0.501 0.386 0.861
0.262 0.137 0.748
0.137 0.748 0.262
0.499 0.614 0.139
0.252 0.738 0.863
0.861 0.501 0.386
0.738 0.863 0.252
0.386 0.861 0.501
0.393 0.076 0.149
0.149 0.393 0.076
0.924 0.851 0.607
0.076 0.149 0.393
0.500 0.500 0.500
0.851 0.607 0.924
0.607 0.924 0.851
0.000 0.000 0.000


Version B
Nd7Sm12Mg | Alexandria via LeMat-Bulk | GGA-PBE | optimized geometry; space group = Im-3m
1.0
-3.735 -3.067 8.744
-7.395 0.859 -6.663
6.685 -6.658 -3.285
Sm Nd Mg
12 7 1
direct
0.756 0.756 0.512
0.488 0.244 0.244
0.244 0.000 0.756
0.756 0.244 0.000
0.000 0.756 0.244
0.756 0.512 0.756
0.244 0.756 0.000
0.000 0.244 0.756
0.244 0.488 0.244
0.244 0.244 0.488
0.512 0.756 0.756
0.756 0.000 0.244
0.500 0.000 0.500
0.000 0.000 0.500
0.500 0.500 0.000
0.500 0.500 0.500
0.000 0.500 0.000
0.500 0.000 0.000
0.000 0.500 0.500
0.000 0.000 0.000


The relative energies come out as version A 0.0; version B 40.6, with values in kJ/mol of atoms.


Version A
Nd6Sm3Mg | Alexandria via LeMat-Bulk | GGA-PBE | optimized geometry; space group = Cmc2_1
1.0
-4.733 1.971 8.018
5.086 -7.288 4.793
1.424 9.870 -1.586
Sm Nd Mg
6 12 2
direct
0.288 0.460 0.540
0.956 0.130 0.376
0.456 0.376 0.130
0.788 0.540 0.460
0.456 0.870 0.624
0.956 0.624 0.870
0.588 0.695 0.828
0.782 0.045 0.955
0.282 0.955 0.045
0.814 0.939 0.546
0.088 0.305 0.172
0.617 0.290 0.710
0.117 0.710 0.290
0.088 0.828 0.695
0.588 0.172 0.305
0.814 0.454 0.061
0.314 0.546 0.939
0.314 0.061 0.454
0.583 0.780 0.220
0.083 0.220 0.780


Version B
Nd6Sm3Mg | Alexandria via LeMat-Bulk | GGA-PBE | optimized geometry; space group = P2_1/c
1.0
5.375 0.000 0.098
0.000 10.624 0.000
-0.231 0.000 12.049
Nd Sm Mg
12 6 2
direct
0.500 0.214 0.387
0.000 0.070 0.248
0.500 0.430 0.748
0.000 0.930 0.752
0.500 0.826 0.919
0.000 0.286 0.887
0.000 0.714 0.113
0.500 0.570 0.252
0.500 0.174 0.081
0.500 0.786 0.613
0.000 0.326 0.581
0.000 0.674 0.419
0.500 0.120 0.718
0.500 0.880 0.282
0.500 0.500 0.000
0.000 0.380 0.218
0.000 0.000 0.500
0.000 0.620 0.782
0.500 0.500 0.500
0.000 0.000 0.000


The relative energies come out as version A 0.0; version B 0.8, with values in kJ/mol of atoms.


Version A
Nd3Sm4Mg | Alexandria via LeMat-Bulk | GGA-PBE | optimized geometry; space group = Immm
1.0
-0.825 -0.098 3.465
6.631 -9.632 1.306
2.222 8.573 -1.061
Nd Mg Sm
3 1 4
direct
0.234 0.234 0.468
0.000 0.500 0.000
0.766 0.766 0.532
0.500 0.000 0.000
0.633 0.380 0.266
0.633 0.886 0.266
0.367 0.114 0.734
0.367 0.620 0.734


Version B
Nd3Sm4Mg | Alexandria via LeMat-Bulk | GGA-PBE | optimized geometry; space group = Pmn2_1
1.0
6.335 0.000 0.000
0.000 7.258 0.000
0.000 0.000 11.563
Nd Sm Mg
6 8 2
direct
0.150 0.878 0.241
0.996 0.128 0.500
0.650 0.122 0.741
0.650 0.122 0.259
0.150 0.878 0.759
0.496 0.872 0.000
0.486 0.372 0.000
0.464 0.386 0.500
0.986 0.628 0.500
0.644 0.628 0.258
0.644 0.628 0.742
0.144 0.372 0.758
0.964 0.614 0.000
0.144 0.372 0.242
0.483 0.877 0.500
0.983 0.123 0.000


The relative energies come out as version A 7.1; version B 0.0, with values in kJ/mol of atoms.


Version A
Nd5Sm4Mg2 | Alexandria via LeMat-Bulk | GGA-PBE | optimized geometry; space group = P2/m
1.0
3.516 0.000 0.000
0.000 8.851 0.004
0.000 -0.845 11.591
Nd Sm Mg
5 4 2
direct
0.000 0.796 0.833
0.000 0.500 0.000
0.000 0.568 0.297
0.000 0.432 0.703
0.000 0.204 0.167
0.500 0.149 0.885
0.500 0.721 0.548
0.500 0.851 0.115
0.500 0.279 0.452
0.000 0.054 0.631
0.000 0.946 0.369


Version B
Nd5Sm4Mg2 | Alexandria via LeMat-Bulk | GGA-PBE | optimized geometry; space group = C2/m
1.0
3.512 0.000 -0.703
-0.872 7.725 -4.357
0.989 -1.473 14.066
Sm Nd Mg
4 5 2
direct
0.072 0.430 0.145
0.928 0.570 0.855
0.711 0.602 0.422
0.289 0.398 0.578
0.183 0.895 0.366
0.817 0.105 0.634
0.869 0.838 0.738
0.500 0.000 0.000
0.131 0.162 0.262
0.554 0.732 0.108
0.446 0.268 0.892


The relative energies come out as version A 1.4; version B 0.0, with values in kJ/mol of atoms.